i | The following is a DFT calculation (PBE) of a relaxed EuDyN crystal.

Cell and atoms, written as POSCAR:
```
EuDyN
1.0
-1.669 1.669 6.875
1.669 -1.669 6.875
1.669 1.669 -6.875
Eu Dy N
1 1 1
Cartesian
0.000 0.000 0.000 Eu
0.000 0.000 4.049 Dy
0.000 0.000 11.361 N
```

**Crystal system**: tetragonal
**V**: 76.6 Å³ per cell



ii | The following is a DFT calculation (PBE) of a relaxed EuDyN crystal.

Cell and atoms, written as POSCAR:
```
EuDyN
1.0
3.574 0.000 0.000
-1.787 3.095 0.000
0.000 0.000 6.334
Eu Dy N
1 1 1
Cartesian
0.000 0.000 0.000 Eu
0.000 2.063 2.770 Dy
1.787 1.032 1.680 N
```

**Crystal system**: trigonal
**V**: 70.1 Å³ per cell



Which structure is most stable, and how do the rest compare? From most to least stable: ii, i.



i | The following is a DFT calculation (PBE) of a relaxed NaEuDy crystal.

Cell and atoms, written as POSCAR:
```
NaEuDy
1.0
3.653 0.000 0.000
-1.827 3.164 0.000
0.000 0.000 9.363
Na Eu Dy
1 1 1
Cartesian
0.000 0.000 0.000 Na
0.000 2.109 6.050 Eu
1.827 1.055 3.100 Dy
```

**Crystal system**: trigonal
**V**: 108.2 Å³ per cell



ii | The following is a DFT calculation (PBE) of a relaxed NaEuDy crystal.

Cell and atoms, written as POSCAR:
```
NaEuDy
1.0
-1.802 1.802 8.377
1.802 -1.802 8.377
1.802 1.802 -8.377
Na Eu Dy
1 1 1
Cartesian
0.000 0.000 0.000 Na
0.000 0.000 5.386 Eu
0.000 0.000 11.117 Dy
```

**Crystal system**: tetragonal
**V**: 108.9 Å³ per cell



Which structure is most stable, and how do the rest compare? From most to least stable: i, ii.



i | The following is a DFT calculation (PBE) of a relaxed EuDy2Os crystal.

Cell and atoms, written as POSCAR:
```
EuDy2Os
1.0
1.960 1.131 10.553
-1.960 1.131 10.553
0.000 -2.263 10.553
Eu Dy Os
1 2 1
Cartesian
0.000 0.000 0.000 Eu
0.000 0.000 3.734 Dy
0.000 0.000 27.925 Dy
0.000 0.000 15.829 Os
```

**Crystal system**: trigonal
**V**: 140.4 Å³ per cell



ii | The following is a DFT calculation (PBE) of a relaxed EuDy2Os crystal.

Cell and atoms, written as POSCAR:
```
EuDy2Os
1.0
3.432 0.000 0.000
0.000 3.432 0.000
0.000 0.000 9.650
Eu Dy Os
1 2 1
Cartesian
0.000 0.000 0.000 Eu
1.716 1.716 3.180 Dy
1.716 1.716 6.470 Dy
0.000 0.000 4.825 Os
```

**Crystal system**: tetragonal
**V**: 113.6 Å³ per cell



Which structure is most stable, and how do the rest compare? From most to least stable: ii, i.



i | The following is a DFT calculation (PBE) of a relaxed Eu2DyPb crystal.

Cell and atoms, written as POSCAR:
```
Eu2DyPb
1.0
4.937 0.000 0.000
0.000 4.937 0.000
0.000 0.000 5.206
Eu Dy Pb
2 1 1
Cartesian
0.000 2.468 0.000 Eu
2.468 0.000 0.000 Eu
0.000 0.000 2.603 Dy
2.468 2.468 2.603 Pb
```

**Crystal system**: tetragonal
**V**: 126.9 Å³ per cell



ii | The following is a DFT calculation (PBE) of a relaxed Eu2DyPb crystal.

Cell and atoms, written as POSCAR:
```
Eu2DyPb
1.0
4.344 0.000 0.000
0.000 4.344 0.000
0.000 0.000 7.014
Eu Dy Pb
2 1 1
Cartesian
0.000 0.000 1.636 Eu
0.000 0.000 5.378 Eu
2.172 2.172 3.507 Dy
2.172 2.172 0.000 Pb
```

**Crystal system**: tetragonal
**V**: 132.4 Å³ per cell



Which structure is most stable, and how do the rest compare? From most to least stable: i, ii.



i | The following is a DFT calculation (PBE) of a relaxed EuDyPd crystal.

Cell and atoms, written as POSCAR:
```
EuDyPd
1.0
0.000 3.524 3.524
3.524 0.000 3.524
3.524 3.524 0.000
Eu Dy Pd
1 1 1
Cartesian
0.000 0.000 0.000 Eu
3.524 3.524 3.524 Dy
1.762 1.762 1.762 Pd
```

**Crystal system**: cubic
**V**: 87.6 Å³ per cell



ii | The following is a DFT calculation (PBE) of a relaxed EuDyPd crystal.

Cell and atoms, written as POSCAR:
```
EuDyPd
1.0
-1.803 1.803 6.391
1.803 -1.803 6.391
1.803 1.803 -6.391
Eu Dy Pd
1 1 1
Cartesian
0.000 0.000 0.000 Eu
0.000 0.000 3.437 Dy
0.000 0.000 8.406 Pd
```

**Crystal system**: tetragonal
**V**: 83.1 Å³ per cell



Which structure is most stable, and how do the rest compare? From most to least stable: ii, i.



i | The following is a DFT calculation (PBE) of a relaxed Eu2DyPd crystal.

Cell and atoms, written as POSCAR:
```
Eu2DyPd
1.0
3.662 0.000 0.000
0.000 3.662 0.000
0.000 0.000 8.995
Eu Dy Pd
2 1 1
Cartesian
0.000 0.000 1.748 Eu
0.000 0.000 7.248 Eu
1.831 1.831 4.498 Dy
1.831 1.831 0.000 Pd
```

**Crystal system**: tetragonal
**V**: 120.6 Å³ per cell



ii | The following is a DFT calculation (PBE) of a relaxed Eu2DyPd crystal.

Cell and atoms, written as POSCAR:
```
Eu2DyPd
1.0
1.868 1.079 10.810
-1.868 1.079 10.810
0.000 -2.157 10.810
Eu Dy Pd
2 1 1
Cartesian
0.000 0.000 3.432 Eu
0.000 0.000 28.997 Eu
0.000 0.000 0.000 Dy
0.000 0.000 16.215 Pd
```

**Crystal system**: trigonal
**V**: 130.7 Å³ per cell



Which structure is most stable, and how do the rest compare? From most to least stable: i, ii.



i | The following is a DFT calculation (PBE) of a relaxed PmEuDy2 crystal.

Cell and atoms, written as POSCAR:
```
PmEuDy2
1.0
5.136 0.000 0.000
0.000 5.136 0.000
0.000 0.000 5.123
Pm Eu Dy
1 1 2
Cartesian
0.000 0.000 0.000 Pm
2.568 2.568 0.000 Eu
0.000 2.568 2.562 Dy
2.568 0.000 2.562 Dy
```

**Crystal system**: tetragonal
**V**: 135.2 Å³ per cell



ii | The following is a DFT calculation (PBE) of a relaxed PmEuDy2 crystal.

Cell and atoms, written as POSCAR:
```
PmEuDy2
1.0
3.645 0.000 0.000
0.000 3.645 0.000
0.000 0.000 10.315
Pm Eu Dy
1 1 2
Cartesian
0.000 0.000 0.000 Pm
0.000 0.000 5.158 Eu
1.822 1.822 2.448 Dy
1.822 1.822 7.867 Dy
```

**Crystal system**: tetragonal
**V**: 137.0 Å³ per cell



Which structure is most stable, and how do the rest compare? From most to least stable: ii, i.



i | The following is a DFT calculation (PBE) of a relaxed PmEuDy2 crystal.

Cell and atoms, written as POSCAR:
```
PmEuDy2
1.0
0.000 4.085 4.085
4.085 0.000 4.085
4.085 4.085 0.000
Pm Eu Dy
1 1 2
Cartesian
0.000 0.000 0.000 Pm
4.085 4.085 4.085 Eu
2.042 2.042 2.042 Dy
6.127 6.127 6.127 Dy
```

**Crystal system**: cubic
**V**: 136.3 Å³ per cell



ii | The following is a DFT calculation (PBE) of a relaxed PmEuDy2 crystal.

Cell and atoms, written as POSCAR:
```
PmEuDy2
1.0
1.817 1.049 11.896
-1.817 1.049 11.896
0.000 -2.098 11.896
Pm Eu Dy
1 1 2
Cartesian
0.000 0.000 0.000 Pm
0.000 0.000 17.844 Eu
0.000 0.000 9.022 Dy
0.000 0.000 26.666 Dy
```

**Crystal system**: trigonal
**V**: 136.1 Å³ per cell



Which structure is most stable, and how do the rest compare? From most to least stable: ii, i.



i | The following is a DFT calculation (PBE) of a relaxed PrEuDy2 crystal.

Cell and atoms, written as POSCAR:
```
PrEuDy2
1.0
0.000 4.105 4.105
4.105 0.000 4.105
4.105 4.105 0.000
Pr Eu Dy
1 1 2
Cartesian
0.000 0.000 0.000 Pr
4.105 4.105 4.105 Eu
2.052 2.052 2.052 Dy
6.157 6.157 6.157 Dy
```

**Crystal system**: cubic
**V**: 138.3 Å³ per cell



ii | The following is a DFT calculation (PBE) of a relaxed PrEuDy2 crystal.

Cell and atoms, written as POSCAR:
```
PrEuDy2
1.0
1.828 1.056 11.916
-1.828 1.056 11.916
0.000 -2.111 11.916
Pr Eu Dy
1 1 2
Cartesian
0.000 0.000 0.000 Pr
0.000 0.000 17.874 Eu
0.000 0.000 9.018 Dy
0.000 0.000 26.730 Dy
```

**Crystal system**: trigonal
**V**: 138.0 Å³ per cell



Which structure is most stable, and how do the rest compare? From most to least stable: ii, i.



i | The following is a DFT calculation (PBE) of a relaxed PrEuDy2 crystal.

Cell and atoms, written as POSCAR:
```
PrEuDy2
1.0
5.980 0.000 0.000
0.000 5.980 0.000
0.000 0.000 3.874
Pr Eu Dy
1 1 2
Cartesian
0.000 0.000 0.000 Pr
2.990 2.990 0.000 Eu
0.000 2.990 1.937 Dy
2.990 0.000 1.937 Dy
```

**Crystal system**: tetragonal
**V**: 138.5 Å³ per cell



ii | The following is a DFT calculation (PBE) of a relaxed PrEuDy2 crystal.

Cell and atoms, written as POSCAR:
```
PrEuDy2
1.0
3.674 0.000 0.000
0.000 3.674 0.000
0.000 0.000 10.307
Pr Eu Dy
1 1 2
Cartesian
0.000 0.000 0.000 Pr
0.000 0.000 5.153 Eu
1.837 1.837 2.462 Dy
1.837 1.837 7.845 Dy
```

**Crystal system**: tetragonal
**V**: 139.1 Å³ per cell



Which structure is most stable, and how do the rest compare? From most to least stable: ii, i.



i | The following is a DFT calculation (PBE) of a relaxed Pr2EuDy crystal.

Cell and atoms, written as POSCAR:
```
Pr2EuDy
1.0
1.813 1.047 12.855
-1.813 1.047 12.855
0.000 -2.094 12.855
Pr Eu Dy
2 1 1
Cartesian
0.000 0.000 3.515 Pr
0.000 0.000 35.050 Pr
0.000 0.000 0.000 Eu
0.000 0.000 19.282 Dy
```

**Crystal system**: trigonal
**V**: 146.4 Å³ per cell



ii | The following is a DFT calculation (PBE) of a relaxed Pr2EuDy crystal.

Cell and atoms, written as POSCAR:
```
Pr2EuDy
1.0
5.240 0.000 0.000
0.000 5.240 0.000
0.000 0.000 5.186
Pr Eu Dy
2 1 1
Cartesian
0.000 2.620 0.000 Pr
2.620 0.000 0.000 Pr
0.000 0.000 2.593 Eu
2.620 2.620 2.593 Dy
```

**Crystal system**: tetragonal
**V**: 142.4 Å³ per cell



Which structure is most stable, and how do the rest compare? From most to least stable: ii, i.



i | The following is a DFT calculation (PBE) of a relaxed EuDyPt crystal.

Cell and atoms, written as POSCAR:
```
EuDyPt
1.0
4.168 0.000 0.000
-2.084 3.610 0.000
0.000 0.000 6.453
Eu Dy Pt
1 1 1
Cartesian
0.000 0.000 0.000 Eu
2.084 1.203 3.104 Dy
0.000 2.406 1.741 Pt
```

**Crystal system**: trigonal
**V**: 97.1 Å³ per cell



ii | The following is a DFT calculation (PBE) of a relaxed EuDyPt crystal.

Cell and atoms, written as POSCAR:
```
EuDyPt
1.0
0.000 3.496 3.496
3.496 0.000 3.496
3.496 3.496 0.000
Eu Dy Pt
1 1 1
Cartesian
0.000 0.000 0.000 Eu
3.496 3.496 3.496 Dy
1.748 1.748 1.748 Pt
```

**Crystal system**: cubic
**V**: 85.5 Å³ per cell



Which structure is most stable, and how do the rest compare? From most to least stable: ii, i.



i | The following is a DFT calculation (PBE) of a relaxed EuDyRh crystal.

Cell and atoms, written as POSCAR:
```
EuDyRh
1.0
0.000 3.449 3.449
3.449 0.000 3.449
3.449 3.449 0.000
Eu Dy Rh
1 1 1
Cartesian
0.000 0.000 0.000 Eu
3.449 3.449 3.449 Dy
5.174 5.174 5.174 Rh
```

**Crystal system**: cubic
**V**: 82.1 Å³ per cell



ii | The following is a DFT calculation (PBE) of a relaxed EuDyRh crystal.

Cell and atoms, written as POSCAR:
```
EuDyRh
1.0
4.047 0.000 0.000
-2.023 3.505 0.000
0.000 0.000 6.414
Eu Dy Rh
1 1 1
Cartesian
0.000 0.000 0.000 Eu
2.023 1.168 3.302 Dy
0.000 2.336 4.685 Rh
```

**Crystal system**: trigonal
**V**: 91.0 Å³ per cell



Which structure is most stable, and how do the rest compare? From most to least stable: i, ii.



i | The following is a DFT calculation (PBE) of a relaxed EuDyRh2 crystal.

Cell and atoms, written as POSCAR:
```
EuDyRh2
1.0
0.000 3.464 3.464
3.464 0.000 3.464
3.464 3.464 0.000
Eu Dy Rh
1 1 2
Cartesian
0.000 0.000 0.000 Eu
3.464 3.464 3.464 Dy
1.732 1.732 1.732 Rh
5.196 5.196 5.196 Rh
```

**Crystal system**: cubic
**V**: 83.2 Å³ per cell



ii | The following is a DFT calculation (PBE) of a relaxed EuDyRh2 crystal.

Cell and atoms, written as POSCAR:
```
EuDyRh2
1.0
3.438 0.000 0.000
0.000 3.438 0.000
0.000 0.000 7.083
Eu Dy Rh
1 1 2
Cartesian
0.000 0.000 0.000 Eu
0.000 0.000 3.541 Dy
1.719 1.719 1.927 Rh
1.719 1.719 5.156 Rh
```

**Crystal system**: tetragonal
**V**: 83.7 Å³ per cell



Which structure is most stable, and how do the rest compare? From most to least stable: ii, i.



i | The following is a DFT calculation (PBE) of a relaxed EuDySb2 crystal.

Cell and atoms, written as POSCAR:
```
EuDySb2
1.0
5.786 0.000 0.000
0.000 5.786 0.000
0.000 0.000 3.389
Eu Dy Sb
1 1 2
Cartesian
0.000 0.000 0.000 Eu
2.893 2.893 0.000 Dy
0.000 2.893 1.694 Sb
2.893 0.000 1.694 Sb
```

**Crystal system**: tetragonal
**V**: 113.4 Å³ per cell



ii | The following is a DFT calculation (PBE) of a relaxed EuDySb2 crystal.

Cell and atoms, written as POSCAR:
```
EuDySb2
1.0
2.227 1.286 7.428
-2.227 1.286 7.428
0.000 -2.572 7.428
Eu Dy Sb
1 1 2
Cartesian
0.000 0.000 0.000 Eu
0.000 0.000 11.142 Dy
0.000 0.000 5.471 Sb
0.000 0.000 16.812 Sb
```

**Crystal system**: trigonal
**V**: 127.6 Å³ per cell



Which structure is most stable, and how do the rest compare? From most to least stable: ii, i.